Entry 1:
A plane-wave DFT calculation with PBE was carried out for a relaxed Ni2PSe crystal.

a = 5.3837 Å, b = 5.3837 Å, c = 5.3837 Å
α = 39.81°, β = 39.81°, γ = 39.81°
Closest atoms and distances in Å follow each position.
Fractional positions:
Ni 0.0000 0.0000 0.0000  3 P 2.29
Ni 0.2172 0.2172 0.2172  3 P 2.29
P 0.6087 0.6087 0.6087  6 Ni 2.29, 1 Se 2.49
Se 0.4407 0.4407 0.4407  1 P 2.49, 6 Ni 2.65-2.67

Summary:
formation energy without anion corrections: -0.158 eV/atom
crystal system: trigonal
energy relative to the lowest polymorph listed for this composition: 0.49 eV/f.u.

Entry 2:
A plane-wave DFT calculation with PBE was carried out for a relaxed Ni2PSe crystal.

a = 4.2212 Å, b = 4.2212 Å, c = 4.2212 Å
α = 60.00°, β = 60.00°, γ = 60.00°
Closest atoms and distances in Å follow each position.
Fractional positions:
Ni 0.2500 0.2500 0.2500  4 Se 2.58, 4 P 2.58
Ni 0.7500 0.7500 0.7500  4 Se 2.58, 4 P 2.58
P 0.0000 0.0000 0.0000  8 Ni 2.58
Se 0.5000 0.5000 0.5000  8 Ni 2.58

Summary:
formation energy without anion corrections: 0.084 eV/atom
crystal system: cubic
energy relative to the lowest polymorph listed for this composition: 1.46 eV/f.u.

Entry 3:
A plane-wave DFT calculation with PBE was carried out for a relaxed Ni2PSe crystal.

a = 2.7590 Å, b = 3.5048 Å, c = 6.1190 Å
α = 90.00°, β = 101.97°, γ = 90.00°
Closest atoms and distances in Å follow each position.
Fractional positions:
Ni 0.1590 0.0000 0.3158  2 P 2.19
Ni 0.8410 0.0000 0.6842  2 P 2.19
P 0.5000 0.5000 0.5000  4 Ni 2.19
Se 0.0000 0.5000 0.0000  4 Ni 2.58, 2 Se 2.76

Summary:
formation energy without anion corrections: -0.032 eV/atom
crystal system: monoclinic
energy relative to the lowest polymorph listed for this composition: 0.99 eV/f.u.

Entry 4:
A plane-wave DFT calculation with PBE was carried out for a relaxed NiPSe3 crystal.

a = 4.7908 Å, b = 4.7908 Å, c = 4.7908 Å
α = 90.00°, β = 90.00°, γ = 90.00°
Closest atoms and distances in Å follow each position.
Fractional positions:
Ni 0.0000 0.0000 0.0000  12 Se 3.39
P 0.5000 0.5000 0.5000  6 Se 2.40
Se 0.0000 0.5000 0.5000  2 P 2.40
Se 0.5000 0.0000 0.5000  2 P 2.40
Se 0.5000 0.5000 0.0000  2 P 2.40

Summary:
formation energy without anion corrections: 0.835 eV/atom
crystal system: cubic

Entry 5:
A plane-wave DFT calculation with PBE was carried out for a relaxed Ni2PSe2 crystal.

a = 7.1125 Å, b = 7.1125 Å, c = 3.0517 Å
α = 90.00°, β = 90.00°, γ = 90.00°
Closest atoms and distances in Å follow each position.
Fractional positions:
Ni 0.1262 0.3738 0.0000  6 Se 2.50-2.67, 1 Ni 2.54
Ni 0.3738 0.8738 0.0000  6 Se 2.50-2.67, 1 Ni 2.54
Ni 0.6262 0.1262 0.0000  6 Se 2.50-2.67, 1 Ni 2.54
Ni 0.8738 0.6262 0.0000  6 Se 2.50-2.67, 1 Ni 2.54
P 0.0000 0.0000 0.5000  4 Se 2.62
P 0.5000 0.5000 0.5000  4 Se 2.62
Se 0.1771 0.6771 0.5000  6 Ni 2.50-2.67, 2 P 2.62
Se 0.3229 0.1771 0.5000  6 Ni 2.50-2.67, 2 P 2.62
Se 0.6771 0.8229 0.5000  6 Ni 2.50-2.67, 2 P 2.62
Se 0.8229 0.3229 0.5000  6 Ni 2.50-2.67, 2 P 2.62

Summary:
formation energy without anion corrections: 0.357 eV/atom
crystal system: tetragonal
energy relative to the lowest polymorph listed for this composition: 0.52 eV/f.u.

Entry 6:
A plane-wave DFT calculation with PBE was carried out for a relaxed NiSn2PSe crystal.

a = 5.6068 Å, b = 5.6068 Å, c = 4.2278 Å
α = 90.00°, β = 90.00°, γ = 90.00°
Closest atoms and distances in Å follow each position.
Fractional positions:
Ni 0.0000 0.0000 0.0000  2 Se 2.11
Sn 0.0000 0.5000 0.5000  2 Se 2.80
Sn 0.5000 0.0000 0.5000  2 Se 2.80
P 0.5000 0.5000 0.0000  8 Sn 3.51
Se 0.0000 0.0000 0.5000  2 Ni 2.11

Summary:
formation energy without anion corrections: 0.593 eV/atom
crystal system: tetragonal

Number 1: uncorrected energy -5.27 eV per atom. Number 2: uncorrected energy -5.03 eV per atom. Number 3: uncorrected energy -5.15 eV per atom. Number 4: uncorrected energy -3.49 eV per atom. Number 5: uncorrected energy -4.43 eV per atom. Number 6: uncorrected energy -3.94 eV per atom.